# 1
{
  "formula": "ZnNi8H5",
  "functional": "PBE-GGA",
  "state": "optimized geometry",
  "cell": [[2.543, 0.000, -0.497], [-0.304, 6.323, -1.554], [0.014, 0.101, 6.819]],
  "species": ["Zn", "Ni", "Ni", "Ni", "Ni", "Ni", "Ni", "Ni", "Ni", "H", "H", "H", "H", "H"],
  "frac_coords": [[0.500, 0.500, 0.000], [0.242, 0.171, 0.484], [0.758, 0.829, 0.516], [0.165, 0.501, 0.329], [0.835, 0.499, 0.671], [0.092, 0.828, 0.183], [0.908, 0.172, 0.817], [0.427, 0.831, 0.853], [0.573, 0.169, 0.147], [0.299, 0.659, 0.599], [0.701, 0.341, 0.401], [0.336, 0.021, 0.672], [0.664, 0.979, 0.328], [0.000, 0.000, 0.000]],
  "final_energy_ev_per_atom": -4.666,
  "n_ef_per_ev_fu": 13.05,
  "sg": "No. 12"
}

# 2
{
  "formula": "ZnNi3H",
  "functional": "PBE-GGA",
  "state": "optimized geometry",
  "cell": [[-3.590, -0.509, 0.160], [-0.119, -0.298, -3.615], [0.520, -3.581, 0.278]],
  "species": ["Ni", "Ni", "Ni", "Zn", "H"],
  "frac_coords": [[0.000, 0.500, 0.000], [0.000, 0.000, 0.500], [0.500, 0.000, 0.000], [0.500, 0.500, 0.500], [0.000, 0.000, 0.000]],
  "final_energy_ev_per_atom": -4.557,
  "polymorph_energy_ev_per_atom": 0.000,
  "n_ef_per_ev_fu": 5.54,
  "sg": "No. 221"
}

# 3
{
  "formula": "ZnNi6H6",
  "functional": "PBE-GGA",
  "state": "optimized geometry",
  "cell": [[-1.107, -0.836, 4.562], [4.624, 0.158, 1.151], [-0.353, 4.692, 0.774]],
  "species": ["Zn", "Ni", "Ni", "Ni", "Ni", "Ni", "Ni", "H", "H", "H", "H", "H", "H"],
  "frac_coords": [[0.000, 0.000, 0.000], [0.248, 0.000, 0.500], [0.000, 0.500, 0.248], [0.000, 0.500, 0.752], [0.500, 0.752, 0.000], [0.500, 0.248, 0.000], [0.752, 0.000, 0.500], [0.258, 0.500, 0.000], [0.500, 0.000, 0.258], [0.500, 0.000, 0.742], [0.000, 0.742, 0.500], [0.000, 0.258, 0.500], [0.742, 0.500, 0.000]],
  "final_energy_ev_per_atom": -4.268,
  "n_ef_per_ev_fu": 9.26,
  "sg": "No. 200"
}

# 4
{
  "formula": "ZnNi3H",
  "functional": "PBE-GGA",
  "state": "optimized geometry",
  "cell": [[2.441, 0.000, 0.000], [0.000, 2.394, -5.944], [0.000, 2.394, 5.944]],
  "species": ["Ni", "Ni", "Ni", "Zn", "H"],
  "frac_coords": [[0.500, 0.152, 0.332], [0.500, 0.668, 0.848], [0.000, 0.270, 0.730], [0.500, 0.093, 0.907], [0.000, 0.445, 0.555]],
  "final_energy_ev_per_atom": -4.064,
  "polymorph_energy_ev_per_atom": 0.494,
  "n_ef_per_ev_fu": 3.98,
  "sg": "No. 38"
}

# 5
{
  "formula": "ZnNi3H",
  "functional": "PBE-GGA",
  "state": "optimized geometry",
  "cell": [[15.645, 0.000, -4.388], [6.629, 1.829, -3.532], [-6.629, 1.829, 3.532]],
  "species": ["Ni", "Ni", "Ni", "Ni", "Ni", "Ni", "Zn", "Zn", "H", "H"],
  "frac_coords": [[0.687, 0.376, 0.624], [0.313, 0.624, 0.376], [0.811, 0.628, 0.372], [0.189, 0.372, 0.628], [0.440, 0.871, 0.129], [0.560, 0.129, 0.871], [0.934, 0.882, 0.118], [0.066, 0.118, 0.882], [0.683, 0.885, 0.115], [0.317, 0.115, 0.885]],
  "final_energy_ev_per_atom": -4.530,
  "polymorph_energy_ev_per_atom": 0.028,
  "n_ef_per_ev_fu": 2.21,
  "sg": "No. 12"
}

# 6
{
  "formula": "Zn5Ni3H12",
  "functional": "PBE-GGA",
  "state": "optimized geometry",
  "cell": [[-0.354, 5.048, 7.954], [-8.580, -3.376, -1.964], [6.023, -7.169, 1.094]],
  "species": ["Ni", "Ni", "Ni", "Ni", "Ni", "Ni", "Ni", "Ni", "Ni", "Ni", "Ni", "Ni", "Zn", "Zn", "Zn", "Zn", "Zn", "Zn", "Zn", "Zn", "Zn", "Zn", "Zn", "Zn", "Zn", "Zn", "Zn", "Zn", "Zn", "Zn", "Zn", "Zn", "H", "H", "H", "H", "H", "H", "H", "H", "H", "H", "H", "H", "H", "H", "H", "H", "H", "H", "H", "H", "H", "H", "H", "H", "H", "H", "H", "H", "H", "H", "H", "H", "H", "H", "H", "H", "H", "H", "H", "H", "H", "H", "H", "H", "H", "H", "H", "H"],
  "frac_coords": [[0.750, 0.375, 0.125], [0.875, 0.750, 0.125], [0.375, 0.750, 0.625], [0.250, 0.125, 0.375], [0.875, 0.125, 0.250], [0.375, 0.625, 0.250], [0.625, 0.375, 0.750], [0.125, 0.875, 0.750], [0.750, 0.875, 0.625], [0.625, 0.250, 0.375], [0.125, 0.250, 0.875], [0.250, 0.625, 0.875], [0.125, 0.375, 0.250], [0.000, 0.500, 0.000], [0.000, 0.000, 0.000], [0.375, 0.250, 0.125], [0.500, 0.000, 0.500], [0.500, 0.500, 0.000], [0.125, 0.750, 0.375], [0.750, 0.125, 0.875], [0.750, 0.625, 0.375], [0.375, 0.125, 0.750], [0.625, 0.875, 0.250], [0.500, 0.500, 0.500], [0.500, 0.000, 0.000], [0.000, 0.000, 0.500], [0.250, 0.375, 0.625], [0.250, 0.875, 0.125], [0.000, 0.500, 0.500], [0.875, 0.250, 0.625], [0.625, 0.750, 0.875], [0.875, 0.625, 0.750], [0.718, 0.162, 0.053], [0.335, 0.553, 0.391], [0.947, 0.338, 0.282], [0.553, 0.218, 0.162], [0.556, 0.718, 0.665], [0.947, 0.609, 0.165], [0.335, 0.782, 0.444], [0.109, 0.944, 0.162], [0.609, 0.947, 0.665], [0.718, 0.556, 0.165], [0.782, 0.447, 0.338], [0.835, 0.891, 0.053], [0.162, 0.718, 0.553], [0.338, 0.391, 0.056], [0.056, 0.891, 0.338], [0.444, 0.162, 0.609], [0.056, 0.165, 0.218], [0.447, 0.665, 0.109], [0.835, 0.944, 0.282], [0.162, 0.444, 0.109], [0.338, 0.947, 0.782], [0.609, 0.662, 0.444], [0.891, 0.835, 0.553], [0.782, 0.335, 0.944], [0.391, 0.338, 0.556], [0.109, 0.165, 0.447], [0.218, 0.665, 0.056], [0.165, 0.056, 0.718], [0.662, 0.053, 0.218], [0.838, 0.556, 0.891], [0.553, 0.335, 0.891], [0.556, 0.838, 0.391], [0.944, 0.835, 0.782], [0.944, 0.109, 0.662], [0.838, 0.282, 0.447], [0.165, 0.109, 0.947], [0.662, 0.609, 0.944], [0.391, 0.053, 0.335], [0.282, 0.444, 0.835], [0.218, 0.553, 0.662], [0.891, 0.056, 0.838], [0.665, 0.218, 0.556], [0.447, 0.782, 0.838], [0.053, 0.391, 0.835], [0.444, 0.282, 0.335], [0.053, 0.662, 0.718], [0.665, 0.447, 0.609], [0.282, 0.838, 0.947]],
  "final_energy_ev_per_atom": -2.824,
  "n_ef_per_ev_fu": 5.78,
  "sg": "No. 230"
}

# 7
{
  "formula": "Zn2NiH2",
  "functional": "PBE-GGA",
  "state": "optimized geometry",
  "cell": [[4.977, 0.000, 0.000], [0.000, 4.977, 0.000], [0.000, 0.000, 3.913]],
  "species": ["Ni", "Ni", "Zn", "Zn", "Zn", "Zn", "H", "H", "H", "H"],
  "frac_coords": [[0.000, 0.000, 0.000], [0.500, 0.500, 0.000], [0.311, 0.811, 0.500], [0.811, 0.689, 0.500], [0.689, 0.189, 0.500], [0.189, 0.311, 0.500], [0.272, 0.772, 0.000], [0.772, 0.728, 0.000], [0.728, 0.228, 0.000], [0.228, 0.272, 0.000]],
  "final_energy_ev_per_atom": -2.933,
  "polymorph_energy_ev_per_atom": 0.000,
  "n_ef_per_ev_fu": 1.31,
  "sg": "No. 127"
}

# 8
{
  "formula": "ZnNi3H",
  "functional": "PBE-GGA",
  "state": "optimized geometry",
  "cell": [[4.179, 0.000, 0.000], [0.000, 4.179, 0.000], [2.089, 2.089, 8.782]],
  "species": ["Ni", "Ni", "Ni", "Ni", "Ni", "Ni", "Zn", "Zn", "H", "H"],
  "frac_coords": [[0.119, 0.874, 0.252], [0.126, 0.881, 0.748], [0.126, 0.371, 0.748], [0.629, 0.874, 0.252], [0.353, 0.353, 0.293], [0.647, 0.647, 0.707], [0.000, 0.000, 0.000], [0.250, 0.750, 0.500], [0.637, 0.137, 0.725], [0.863, 0.363, 0.275]],
  "final_energy_ev_per_atom": -3.707,
  "polymorph_energy_ev_per_atom": 0.850,
  "n_ef_per_ev_fu": 4.67,
  "sg": "No. 119"
}

# 9
{
  "formula": "ZnNi3H3",
  "functional": "PBE-GGA",
  "state": "optimized geometry",
  "cell": [[-2.343, 0.209, -4.038], [-4.228, -1.959, -0.352], [-4.886, 4.901, 0.384]],
  "species": ["Zn", "Zn", "Ni", "Ni", "Ni", "Ni", "Ni", "Ni", "H", "H", "H", "H", "H", "H"],
  "frac_coords": [[0.334, 0.334, 0.999], [0.666, 0.666, 0.001], [0.236, 0.554, 0.312], [0.897, 0.236, 0.312], [0.554, 0.897, 0.312], [0.446, 0.103, 0.688], [0.103, 0.764, 0.688], [0.764, 0.446, 0.688], [0.453, 0.804, 0.611], [0.804, 0.132, 0.611], [0.132, 0.453, 0.611], [0.868, 0.547, 0.389], [0.196, 0.868, 0.389], [0.547, 0.196, 0.389]],
  "final_energy_ev_per_atom": -4.113,
  "polymorph_energy_ev_per_atom": 0.063,
  "n_ef_per_ev_fu": 2.10,
  "sg": "No. 148"
}

# 10
{
  "formula": "ZnNi4H5",
  "functional": "PBE-GGA",
  "state": "optimized geometry",
  "cell": [[-3.904, -0.852, -1.352], [-1.525, -0.367, 4.634], [-1.580, 7.166, 0.048]],
  "species": ["Zn", "Zn", "Ni", "Ni", "Ni", "Ni", "Ni", "Ni", "Ni", "Ni", "H", "H", "H", "H", "H", "H", "H", "H", "H", "H"],
  "frac_coords": [[0.845, 0.000, 0.000], [0.155, 0.500, 0.500], [0.104, 0.000, 0.689], [0.351, 0.751, 0.000], [0.351, 0.249, 0.000], [0.104, 0.000, 0.311], [0.896, 0.500, 0.189], [0.649, 0.749, 0.500], [0.649, 0.251, 0.500], [0.896, 0.500, 0.811], [0.235, 0.715, 0.791], [0.235, 0.285, 0.791], [0.625, 0.500, 0.000], [0.235, 0.715, 0.209], [0.235, 0.285, 0.209], [0.765, 0.785, 0.291], [0.765, 0.215, 0.291], [0.375, 0.000, 0.500], [0.765, 0.215, 0.709], [0.765, 0.785, 0.709]],
  "final_energy_ev_per_atom": -4.068,
  "n_ef_per_ev_fu": 3.41,
  "sg": "No. 59"
}

# 11
{
  "formula": "ZnNi4H2",
  "functional": "PBE-GGA",
  "state": "optimized geometry",
  "cell": [[2.648, 0.000, 0.000], [-1.324, 4.718, 0.000], [0.000, 0.000, 10.028]],
  "species": ["Zn", "Zn", "Ni", "Ni", "Ni", "Ni", "Ni", "Ni", "Ni", "Ni", "H", "H", "H", "H"],
  "frac_coords": [[0.584, 0.168, 0.750], [0.416, 0.832, 0.250], [0.773, 0.546, 0.099], [0.773, 0.546, 0.401], [0.227, 0.454, 0.901], [0.227, 0.454, 0.599], [0.872, 0.744, 0.750], [0.128, 0.256, 0.250], [0.500, 0.000, 0.000], [0.500, 0.000, 0.500], [0.127, 0.253, 0.451], [0.873, 0.747, 0.951], [0.127, 0.253, 0.049], [0.873, 0.747, 0.549]],
  "final_energy_ev_per_atom": -4.440,
  "n_ef_per_ev_fu": 5.93,
  "sg": "No. 63"
}

# 12
{
  "formula": "ZnNi3H",
  "functional": "PBE-GGA",
  "state": "optimized geometry",
  "cell": [[-4.196, 0.175, -2.885], [0.007, -4.094, 1.561], [-4.226, 2.035, 1.990]],
  "species": ["H", "H", "Zn", "Zn", "Ni", "Ni", "Ni", "Ni", "Ni", "Ni"],
  "frac_coords": [[0.929, 0.243, 0.973], [0.110, 0.743, 0.792], [0.463, 0.978, 0.172], [0.730, 0.508, 0.439], [0.976, 0.990, 0.661], [0.973, 0.000, 0.174], [0.241, 0.495, 0.926], [0.477, 0.999, 0.670], [0.232, 0.486, 0.425], [0.728, 0.485, 0.928]],
  "final_energy_ev_per_atom": -4.509,
  "polymorph_energy_ev_per_atom": 0.049,
  "n_ef_per_ev_fu": 3.32,
  "sg": "No. 5"
}

# 13
{
  "formula": "ZnNi3H",
  "functional": "PBE-GGA",
  "state": "optimized geometry",
  "cell": [[3.597, 0.000, 0.000], [0.000, 5.775, -0.040], [0.000, -2.280, 4.616]],
  "species": ["H", "H", "Zn", "Zn", "Ni", "Ni", "Ni", "Ni", "Ni", "Ni"],
  "frac_coords": [[0.571, 0.758, 0.615], [0.571, 0.245, 0.360], [0.071, 0.244, 0.859], [0.071, 0.759, 0.117], [0.571, 0.001, 0.488], [0.571, 0.502, 0.740], [0.071, 0.748, 0.612], [0.071, 0.254, 0.364], [0.571, 0.001, 0.988], [0.571, 0.501, 0.235]],
  "final_energy_ev_per_atom": -4.546,
  "polymorph_energy_ev_per_atom": 0.011,
  "n_ef_per_ev_fu": 2.61,
  "sg": "No. 10"
}

# 14
{
  "formula": "ZnNi3H",
  "functional": "PBE-GGA",
  "state": "optimized geometry",
  "cell": [[2.312, -1.335, 0.000], [0.000, 2.670, 0.000], [0.000, 0.000, 16.211]],
  "species": ["Ni", "Ni", "Ni", "Ni", "Ni", "Ni", "Zn", "Zn", "H", "H"],
  "frac_coords": [[0.000, 0.000, 0.250], [0.000, 0.000, 0.750], [0.333, 0.667, 0.877], [0.333, 0.667, 0.623], [0.667, 0.333, 0.377], [0.667, 0.333, 0.123], [0.000, 0.000, 0.000], [0.000, 0.000, 0.500], [0.333, 0.667, 0.750], [0.667, 0.333, 0.250]],
  "final_energy_ev_per_atom": -4.385,
  "polymorph_energy_ev_per_atom": 0.172,
  "n_ef_per_ev_fu": 4.20,
  "sg": "No. 194"
}

# 15
{
  "formula": "ZnNi5H5",
  "functional": "PBE-GGA",
  "state": "optimized geometry",
  "cell": [[-3.675, 1.984, 2.896], [-1.093, -1.477, 7.512], [2.866, 2.347, -2.450]],
  "species": ["Zn", "Ni", "Ni", "Ni", "Ni", "Ni", "H", "H", "H", "H", "H"],
  "frac_coords": [[0.000, 0.000, 0.000], [0.117, 0.749, 0.245], [0.249, 0.501, 0.522], [0.500, 0.000, 0.000], [0.751, 0.499, 0.478], [0.883, 0.251, 0.755], [0.414, 0.711, 0.681], [0.243, 0.015, 0.570], [0.000, 0.500, 0.000], [0.757, 0.985, 0.430], [0.586, 0.289, 0.319]],
  "final_energy_ev_per_atom": -4.195,
  "n_ef_per_ev_fu": 4.96,
  "sg": "No. 2"
}

# 16
{
  "formula": "ZnNi3H",
  "functional": "PBE-GGA",
  "state": "optimized geometry",
  "cell": [[2.396, -6.082, 0.000], [2.396, 6.082, 0.000], [0.000, 0.000, 4.492]],
  "species": ["Ni", "Ni", "Ni", "Ni", "Ni", "Ni", "Zn", "Zn", "H", "H"],
  "frac_coords": [[0.604, 0.901, 0.250], [0.099, 0.396, 0.250], [0.901, 0.604, 0.750], [0.396, 0.099, 0.750], [0.000, 0.000, 0.000], [0.000, 0.000, 0.500], [0.178, 0.822, 0.250], [0.822, 0.178, 0.750], [0.436, 0.564, 0.250], [0.564, 0.436, 0.750]],
  "final_energy_ev_per_atom": -4.062,
  "polymorph_energy_ev_per_atom": 0.495,
  "n_ef_per_ev_fu": 4.43,
  "sg": "No. 63"
}

# 17
{
  "formula": "ZnNiH3",
  "functional": "PBE-GGA",
  "state": "optimized geometry",
  "cell": [[4.409, -0.003, -2.112], [-1.035, 4.220, -2.169], [-0.545, -0.138, 4.530]],
  "species": ["Zn", "Zn", "Ni", "Ni", "H", "H", "H", "H", "H", "H"],
  "frac_coords": [[0.165, 0.560, 0.497], [0.849, 0.062, 0.499], [0.804, 0.620, 0.873], [0.429, 0.505, 0.124], [0.562, 0.324, 0.400], [0.669, 0.389, 0.970], [0.922, 0.003, 0.139], [0.658, 0.801, 0.597], [0.283, 0.122, 0.861], [0.196, 0.734, 0.024]],
  "final_energy_ev_per_atom": -3.399,
  "n_ef_per_ev_fu": 0.20,
  "sg": "No. 1"
}

# 18
{
  "formula": "Zn2NiH",
  "functional": "PBE-GGA",
  "state": "optimized geometry",
  "cell": [[5.979, 0.000, 0.000], [0.000, 5.979, 0.000], [2.989, 2.989, 2.452]],
  "species": ["Ni", "Ni", "Zn", "Zn", "Zn", "Zn", "H", "H"],
  "frac_coords": [[0.000, 0.000, 0.000], [0.750, 0.250, 0.500], [0.553, 0.125, 0.250], [0.197, 0.625, 0.250], [0.375, 0.447, 0.750], [0.875, 0.803, 0.750], [0.500, 0.500, 0.000], [0.250, 0.750, 0.500]],
  "final_energy_ev_per_atom": -2.703,
  "polymorph_energy_ev_per_atom": 0.000,
  "n_ef_per_ev_fu": 1.59,
  "sg": "No. 122"
}